The following is a DFT calculation (GGA-PBE) of a relaxed structure of CsBeNb.

a = 5.0463 Å, b = 5.0463 Å, c = 8.2045 Å
α = 90.00°, β = 90.00°, γ = 120.00°
Element x y z (fractional)
Cs 0.6667 0.3333 0.0000
Cs 0.6667 0.3333 0.5000
Be 0.3333 0.6667 0.3532
Be 0.3333 0.6667 0.6468
Nb 0.0000 0.0000 0.3598
Nb 0.0000 0.0000 0.6402

Density of states at the Fermi level: 5.8 states/eV per cell
VASP energy: -10.28 eV per formula unit
Crystal system: hexagonal
Energy of formation from the pure elements: 33.60 kcal/mol of atoms
Space-group type: No. 187